Material: BaU2HgO7
Method: DFT, GGA-PBE
State: optimized geometry

Output
The space-group type is P4/mmm (123). The total energy comes out at -89.355 eV per cell. The uncorrected formation energy is -29.847 eV/f.u.

Cell: 4.337 4.337 12.111 Å, 90.00 90.00 90.00°
Last column: magnetic moment on the atom in μB.
Fractional coordinates of all 11 atoms:
1 Ba 0.000 0.000 0.000  0.00
2 U 0.500 0.500 0.182  -0.09
3 U 0.500 0.500 0.818  -0.09
4 Hg 0.000 0.000 0.500  0.01
5 O 0.500 0.500 0.667  0.01
6 O 0.000 0.500 0.155  0.00
7 O 0.500 0.000 0.155  0.00
8 O 0.000 0.500 0.845  0.00
9 O 0.500 0.000 0.845  0.00
10 O 0.500 0.500 0.333  0.01
11 O 0.500 0.500 0.000  0.00